# BeRePt2 PBE-GGA relaxed
data_BeRePt2
_chemical_formula_sum 'Be1 Re1 Pt2'
_cell_length_a 2.836
_cell_length_b 4.465
_cell_length_c 4.508
_cell_angle_alpha 90.00
_cell_angle_beta 90.00
_cell_angle_gamma 90.00
_symmetry_space_group_name_H-M 'P m m m'
_symmetry_Int_Tables_number 47
_symmetry_space_group_name_Hall '-P 2 2'
loop_
_atom_site_label
_atom_site_type_symbol
_atom_site_fract_x
_atom_site_fract_y
_atom_site_fract_z
Be1 Be 0.000 0.000 0.000
Re1 Re 0.500 0.000 0.500
Pt1 Pt 0.000 0.500 0.500
Pt2 Pt 0.500 0.500 0.000
# N(E_F)   3.5 states/eV/f.u.
# E_form   0.1486 eV per atom

# Be2RePt PBE-GGA relaxed
data_Be2RePt
_chemical_formula_sum 'Be4 Re2 Pt2'
_cell_length_a 3.894
_cell_length_b 2.711
_cell_length_c 8.753
_cell_angle_alpha 90.00
_cell_angle_beta 90.00
_cell_angle_gamma 90.00
_symmetry_space_group_name_H-M 'A m m 2'
_symmetry_Int_Tables_number 38
_symmetry_space_group_name_Hall 'A 2 -2'
loop_
_atom_site_label
_atom_site_type_symbol
_atom_site_fract_x
_atom_site_fract_y
_atom_site_fract_z
Be1 Be 0.000 0.000 0.000
Be2 Be 0.500 0.000 0.156
Re1 Re 0.500 0.000 0.428
Pt1 Pt 0.000 0.000 0.726
# ΔE to the lowest computed polymorph   68 meV/atom
# N(E_F)   2.8 states/eV/f.u.
# E_form   -0.2318 eV per atom

# BeRe2Pt PBE-GGA relaxed
data_BeRe2Pt
_chemical_formula_sum 'Be2 Re4 Pt2'
_cell_length_a 8.718
_cell_length_b 2.717
_cell_length_c 4.815
_cell_angle_alpha 90.00
_cell_angle_beta 97.60
_cell_angle_gamma 90.00
_symmetry_space_group_name_H-M 'C 1 m 1'
_symmetry_Int_Tables_number 8
_symmetry_space_group_name_Hall 'C -2y'
loop_
_atom_site_label
_atom_site_type_symbol
_atom_site_fract_x
_atom_site_fract_y
_atom_site_fract_z
Be1 Be 0.000 0.000 0.000
Re1 Re 0.005 0.500 0.477
Re2 Re 0.251 0.500 0.274
Pt1 Pt 0.250 0.000 0.799
# N(E_F)   2.8 states/eV/f.u.
# E_form   0.0293 eV per atom

# BeRe2Pt PBE-GGA relaxed
data_BeRe2Pt
_chemical_formula_sum 'Be1 Re2 Pt1'
_cell_length_a 2.744
_cell_length_b 3.967
_cell_length_c 5.250
_cell_angle_alpha 90.00
_cell_angle_beta 105.10
_cell_angle_gamma 90.00
_symmetry_space_group_name_H-M 'P 1 m 1'
_symmetry_Int_Tables_number 6
_symmetry_space_group_name_Hall 'P -2y'
loop_
_atom_site_label
_atom_site_type_symbol
_atom_site_fract_x
_atom_site_fract_y
_atom_site_fract_z
Be1 Be 0.000 0.000 0.000
Re1 Re 0.384 0.500 0.767
Re2 Re 0.762 0.000 0.527
Pt1 Pt 0.115 0.500 0.232
# N(E_F)   2.4 states/eV/f.u.
# E_form   -0.1086 eV per atom

# BeRe3Pt PBE-GGA relaxed
data_BeRe3Pt
_chemical_formula_sum 'Be1 Re3 Pt1'
_cell_length_a 4.129
_cell_length_b 4.129
_cell_length_c 4.129
_cell_angle_alpha 90.00
_cell_angle_beta 90.00
_cell_angle_gamma 90.00
_symmetry_space_group_name_H-M 'P m -3 m'
_symmetry_Int_Tables_number 221
_symmetry_space_group_name_Hall '-P 4 2 3'
loop_
_atom_site_label
_atom_site_type_symbol
_atom_site_fract_x
_atom_site_fract_y
_atom_site_fract_z
Be1 Be 0.000 0.000 0.000
Re1 Re 0.000 0.000 0.500
Pt1 Pt 0.500 0.500 0.500
# N(E_F)   4.7 states/eV/f.u.
# E_form   0.5955 eV per atom

# BeRePt PBE-GGA relaxed
data_BeRePt
_chemical_formula_sum 'Be2 Re2 Pt2'
_cell_length_a 2.778
_cell_length_b 2.778
_cell_length_c 9.881
_cell_angle_alpha 90.00
_cell_angle_beta 90.00
_cell_angle_gamma 90.00
_symmetry_space_group_name_H-M 'I 4 m m'
_symmetry_Int_Tables_number 107
_symmetry_space_group_name_Hall 'I 4 -2'
loop_
_atom_site_label
_atom_site_type_symbol
_atom_site_fract_x
_atom_site_fract_y
_atom_site_fract_z
Be1 Be 0.000 0.000 0.000
Re1 Re 0.000 0.000 0.653
Pt1 Pt 0.000 0.000 0.356
# ΔE to the lowest computed polymorph   0 meV/atom
# N(E_F)   3.1 states/eV/f.u.
# E_form   -0.1823 eV per atom

# Be2RePt PBE-GGA relaxed
data_Be2RePt
_chemical_formula_sum 'Be4 Re2 Pt2'
_cell_length_a 3.330
_cell_length_b 3.330
_cell_length_c 8.609
_cell_angle_alpha 90.00
_cell_angle_beta 90.00
_cell_angle_gamma 90.00
_symmetry_space_group_name_H-M 'I -4 m 2'
_symmetry_Int_Tables_number 119
_symmetry_space_group_name_Hall 'I -4 -2'
loop_
_atom_site_label
_atom_site_type_symbol
_atom_site_fract_x
_atom_site_fract_y
_atom_site_fract_z
Be1 Be 0.000 0.000 0.000
Be2 Be 0.000 0.500 0.250
Re1 Re 0.000 0.000 0.500
Pt1 Pt 0.000 0.500 0.750
# ΔE to the lowest computed polymorph   235 meV/atom
# N(E_F)   3.5 states/eV/f.u.
# E_form   -0.0639 eV per atom

# BeRePt2 PBE-GGA relaxed
data_BeRePt2
_chemical_formula_sum 'Be1 Re1 Pt2'
_cell_length_a 2.770
_cell_length_b 2.770
_cell_length_c 6.982
_cell_angle_alpha 90.00
_cell_angle_beta 90.00
_cell_angle_gamma 90.00
_symmetry_space_group_name_H-M 'P 4/m m m'
_symmetry_Int_Tables_number 123
_symmetry_space_group_name_Hall '-P 4 2'
loop_
_atom_site_label
_atom_site_type_symbol
_atom_site_fract_x
_atom_site_fract_y
_atom_site_fract_z
Be1 Be 0.000 0.000 0.000
Re1 Re 0.000 0.000 0.500
Pt1 Pt 0.500 0.500 0.212
# N(E_F)   3.5 states/eV/f.u.
# E_form   -0.3297 eV per atom